Below is a geometry-optimized ZnAg2Mo structure, with properties calculated at the PBE level.

- ΔH_f (0 K) (eV per formula unit) = 2.05
- final energy (Ha/atom) = -0.145
- space group = P4/mmm
- crystal system = tetragonal

```
ZnAg2Mo
1.0
-4.6018 -1.5057 0.9520
1.2668 -0.9121 4.6812
-0.7021 2.5842 0.6935
Ag Mo Zn
2 1 1
Direct
0.0000 0.0000 0.0000
0.5000 0.5000 0.0000
0.5000 0.0000 0.5000
0.0000 0.5000 0.5000
```

Below is a geometry-optimized MgCuGe structure, with properties calculated at the PBE level.

- ΔH_f (0 K) (eV per formula unit) = -0.03
- final energy (Ha/atom) = -0.127
- space group = I4mm
- crystal system = tetragonal

```
MgCuGe
1.0
3.2274 0.0000 0.0000
0.0000 3.2274 0.0000
-1.6137 -1.6137 4.8338
Ge Mg Cu
1 1 1
Direct
0.3037 0.3037 0.6073
0.6087 0.6087 0.2175
0.9376 0.9376 0.8752
```

Below is a geometry-optimized Sr2PuGe3Pd4 structure, with properties calculated at the PBE level.

- ΔH_f (0 K) (eV per formula unit) = -6.46
- final energy (Ha/atom) = -0.216
- space group = P-4m2
- crystal system = tetragonal

```
Sr2PuGe3Pd4
1.0
-2.2536 3.1495 2.1835
-0.1732 -2.6142 3.5919
9.4748 4.2955 3.5833
Sr Pu Ge Pd
2 1 3 4
Direct
0.5000 0.0000 0.2299
0.0000 0.5000 0.7701
0.5000 0.5000 0.5000
0.0000 0.0000 0.5000
0.5000 0.0000 0.8860
0.0000 0.5000 0.1140
0.5000 0.5000 0.0000
0.0000 0.0000 0.0000
0.5000 0.0000 0.6586
0.0000 0.5000 0.3414
```

Below is a geometry-optimized TaAlRu3 structure, with properties calculated at the PBE level.

- ΔH_f (0 K) (eV per formula unit) = 6.91
- final energy (Ha/atom) = -0.268
- excess energy over the best structure of this formula in the dataset (meV per atom) = 696
- space group = Pm-3m
- crystal system = cubic

```
TaAlRu3
1.0
-2.0611 -4.0577 1.1262
2.9813 -2.2916 -2.8003
2.9741 -0.5149 3.5877
Ru Al Ta
3 1 1
Direct
0.0000 0.5000 0.0000
0.0000 0.0000 0.5000
0.5000 0.0000 0.0000
0.5000 0.5000 0.5000
0.0000 0.0000 0.0000
```

Below is a geometry-optimized Pm2PrHo6Tm structure, with properties calculated at the PBE level.

- ΔH_f (0 K) (eV per formula unit) = 1.24
- final energy (Ha/atom) = -0.165
- space group = C2/c
- crystal system = monoclinic

```
Pm2PrHo6Tm
1.0
8.5608 -1.6632 -1.7260
1.1439 8.7830 -2.1723
1.1439 -2.4964 8.6964
Pm Pr Ho Tm
4 2 12 2
Direct
0.4404 0.7989 0.6787
0.0596 0.3213 0.2011
0.5596 0.2011 0.3213
0.9404 0.6787 0.7989
0.2500 0.9649 0.0351
0.7500 0.0351 0.9649
0.0573 0.1361 0.7808
0.4427 0.2192 0.8639
0.9427 0.8639 0.2192
0.5573 0.7808 0.1361
0.2978 0.0241 0.4517
0.2022 0.5483 0.9759
0.7022 0.9759 0.5483
0.7978 0.4517 0.0241
0.0953 0.7326 0.4806
0.4047 0.5194 0.2674
0.9047 0.2674 0.5194
0.5953 0.4806 0.7326
0.2500 0.4333 0.5667
0.7500 0.5667 0.4333
```

Below is a geometry-optimized Mg2HIr structure, with properties calculated at the PBE level.

- final energy (Ha/atom) = -0.143
- excess energy over the best structure of this formula in the dataset (meV per atom) = 295
- space group = P4/mmm
- crystal system = tetragonal

```
Mg2HIr
1.0
2.9741 0.0000 0.0000
0.0000 2.9741 0.0000
0.0000 0.0000 6.5726
H Mg Ir
1 2 1
Direct
0.5000 0.5000 0.5000
0.0000 0.0000 0.7469
0.0000 0.0000 0.2531
0.5000 0.5000 0.0000
```